HoTh4Sc3 | PBE | relaxed

Cell and atoms, written as extended XYZ:
```
8
Lattice="-0.998 -5.897 -0.633 5.885 1.211 -0.596 -1.574 1.462 7.384" Properties=species:S:1:pos:R:3 pbc="T T T"
Sc 2.942 0.606 -0.298
Sc 3.097 -3.008 4.501
Sc 0.216 -0.216 1.653
Ho -0.499 -2.948 -0.316
Th -0.062 -3.397 3.116
Th 3.374 0.173 3.038
Th 0.649 -0.656 5.054
Th 2.664 -2.568 1.100
```

Summary:
SG: P-1, No. 2
DFT formation energy: 0.0440 eV/atom
Magnetization: 0.00 μB/f.u.

---

Ho4Th2Sc | PBE | relaxed

Cell and atoms, written as extended XYZ:
```
7
Lattice="5.336 0.000 0.000 0.000 5.336 0.000 -2.668 -2.668 8.465" Properties=species:S:1:pos:R:3 pbc="T T T"
Ho 0.000 0.000 3.037
Ho 2.668 2.668 5.428
Ho 0.000 2.668 0.000
Ho 2.668 0.000 0.000
Th 0.000 0.000 6.464
Th 2.668 2.668 2.000
Sc 0.000 0.000 0.000
```

Summary:
SG: I4/mmm, No. 139
DFT formation energy: 0.7090 eV/atom
Magnetization: 1.15 μB/f.u.

---

HoTh4Sc6 | PBE | relaxed

Cell and atoms, written as extended XYZ:
```
11
Lattice="-4.298 -2.655 -0.634 2.161 -1.539 -8.206 2.460 -5.462 6.204" Properties=species:S:1:pos:R:3 pbc="T T T"
Ho 0.000 0.000 0.000
Th 1.086 -5.889 -3.142
Th -0.821 -2.999 -2.315
Th 0.070 -3.635 -5.702
Th 2.360 -4.155 1.401
Sc 1.354 -1.250 -3.941
Sc 1.033 -6.517 -0.153
Sc 2.299 -3.349 -1.557
Sc 3.129 -3.941 -4.710
Sc 0.247 -5.957 2.829
Sc -0.646 -3.972 0.575
```

Summary:
SG: P-6m2, No. 187
DFT formation energy: 0.4725 eV/atom
Magnetization: 0.00 μB/f.u.

---

HoTh2Sc5 | PBE | relaxed

Cell and atoms, written as extended XYZ:
```
8
Lattice="5.216 0.000 0.000 2.608 6.703 -0.401 2.608 0.837 6.663" Properties=species:S:1:pos:R:3 pbc="T T T"
Ho 0.000 0.000 0.000
Th 7.825 6.135 5.095
Th 2.608 1.405 1.167
Sc 2.608 3.770 3.131
Sc 5.216 3.429 0.919
Sc 5.216 4.111 5.342
Sc 5.216 6.007 3.059
Sc 5.216 1.534 3.202
```

Summary:
SG: Immm, No. 71
DFT formation energy: 0.3950 eV/atom
Magnetization: 0.00 μB/f.u.